VASP calculation (PBE) on an optimized crystal structure of Ac4LaGa4.

a b c (Å): 6.621 9.640 9.640
angles (deg): 90.00 90.00 90.00
Sites, in units of the cell vectors:
Ac 0.632 0.084 0.308
Ac 0.132 0.192 0.584
Ac 0.632 0.916 0.692
Ac 0.368 0.308 0.916
Ac 0.868 0.584 0.808
Ac 0.368 0.692 0.084
Ac 0.132 0.808 0.416
Ac 0.868 0.416 0.192
Ga 0.848 0.259 0.868
Ga 0.348 0.632 0.759
Ga 0.848 0.741 0.132
Ga 0.152 0.868 0.741
Ga 0.652 0.759 0.368
Ga 0.152 0.132 0.259
Ga 0.348 0.368 0.241
Ga 0.652 0.241 0.632
La 0.500 0.500 0.500
La 0.000 0.000 0.000

Values from the calculation:
As for the magnetic moment: 0.0 Bohr magnetons per cell. The density of states at the Fermi level is 7.26 states/eV/f.u. The value obtained for the formation energy is -0.33 eV per atom.

---

VASP calculation (PBE) on an optimized crystal structure of AcLaGa.

a b c (Å): 3.942 3.942 6.923
angles (deg): 106.54 106.54 90.00
Sites, in units of the cell vectors:
La 0.303 0.303 0.607
Ac 0.023 0.023 0.046
Ga 0.674 0.674 0.347

Values from the calculation:
As for the magnetic moment: 0.1 Bohr magnetons per cell. The density of states at the Fermi level is 3.99 states/eV/f.u. The value obtained for the formation energy is -0.31 eV per atom.

---

VASP calculation (PBE) on an optimized crystal structure of AcLaGa.

a b c (Å): 4.103 5.166 5.166
angles (deg): 120.00 90.00 90.00
Sites, in units of the cell vectors:
Ac 0.022 0.000 0.000
Ga 0.367 0.333 0.667
La 0.611 0.667 0.333

Values from the calculation:
As for the magnetic moment: 0.0 Bohr magnetons per cell. The density of states at the Fermi level is 1.86 states/eV/f.u. The value obtained for the formation energy is -0.25 eV per atom.

---

VASP calculation (PBE) on an optimized crystal structure of AcLa2Ga.

a b c (Å): 5.113 5.001 5.001
angles (deg): 90.00 90.00 90.00
Sites, in units of the cell vectors:
Ga 0.500 0.000 0.000
Ac 0.500 0.500 0.500
La 0.000 0.500 0.000
La 0.000 0.000 0.500

Values from the calculation:
As for the magnetic moment: 0.0 Bohr magnetons per cell. The density of states at the Fermi level is 5.37 states/eV/f.u. The value obtained for the formation energy is -0.20 eV per atom.

---

VASP calculation (PBE) on an optimized crystal structure of Ac2LaGa6.

a b c (Å): 3.831 8.382 8.382
angles (deg): 69.71 76.79 76.79
Sites, in units of the cell vectors:
Ga 0.000 0.786 0.214
Ga 0.000 0.214 0.786
Ga 0.180 0.122 0.518
Ga 0.820 0.878 0.482
Ga 0.820 0.482 0.878
Ga 0.180 0.518 0.122
Ac 0.633 0.867 0.867
Ac 0.367 0.133 0.133
La 0.500 0.500 0.500

Values from the calculation:
As for the magnetic moment: 0.0 Bohr magnetons per cell. The density of states at the Fermi level is 6.15 states/eV/f.u. The value obtained for the formation energy is -0.33 eV per atom.

---

VASP calculation (PBE) on an optimized crystal structure of Ac2LaGa2.

a b c (Å): 5.040 6.770 10.432
angles (deg): 81.87 76.02 68.15
Sites, in units of the cell vectors:
Ga 0.124 0.327 0.426
Ga 0.957 0.169 0.916
Ga 0.876 0.673 0.574
Ga 0.043 0.831 0.084
Ac 0.310 0.281 0.100
Ac 0.519 0.643 0.320
Ac 0.481 0.357 0.680
Ac 0.690 0.719 0.900
La 0.800 0.049 0.351
La 0.200 0.951 0.649

Values from the calculation:
As for the magnetic moment: 0.0 Bohr magnetons per cell. The density of states at the Fermi level is 3.44 states/eV/f.u. The value obtained for the formation energy is -0.43 eV per atom.

---

Please write out number 3 again, unchanged.
VASP calculation (PBE) on an optimized crystal structure of AcLaGa.

a b c (Å): 4.103 5.166 5.166
angles (deg): 120.00 90.00 90.00
Sites, in units of the cell vectors:
Ac 0.022 0.000 0.000
Ga 0.367 0.333 0.667
La 0.611 0.667 0.333

Values from the calculation:
As for the magnetic moment: 0.0 Bohr magnetons per cell. The density of states at the Fermi level is 1.86 states/eV/f.u. The value obtained for the formation energy is -0.25 eV per atom.

---

- Which value of magnetic moment does entry 4 give?
  0.0 Bohr magnetons per cell

---

- What is the magnetic moment in the second record?
  0.1 Bohr magnetons per cell